A relaxed structure of Mg2BePtSe, computed with PBE.

abc: 5.0400 4.2375 5.0400
angles: 90.00 90.00 90.00
Fractional coordinates of all 5 atoms:
1 Pt 0.0000 0.0000 0.0000
2 Be 0.0000 0.5000 0.0000
3 Mg 0.0000 0.0000 0.5000
4 Mg 0.5000 0.0000 0.0000
5 Se 0.5000 0.5000 0.5000

Results
* density of states at the Fermi level: 1.1 states/eV/cell
* size of the total moment: 0.00 Bohr magnetons per cell
* total DFT energy (no corrections): -17.551 eV for the cell shown

***

A relaxed structure of ScOs2Br, computed with PBE.

abc: 3.1986 3.1986 6.4919
angles: 90.00 90.00 90.00
Fractional coordinates of all 4 atoms:
1 Os 0.0000 0.0000 0.0038
2 Os 0.0000 0.0000 0.4962
3 Sc 0.5000 0.5000 0.2500
4 Br 0.5000 0.5000 0.7500

Results
* density of states at the Fermi level: 1.2 states/eV/cell
* size of the total moment: 0.00 Bohr magnetons per cell
* total DFT energy (no corrections): -27.728 eV for the cell shown

***

A relaxed structure of Rb3TaSe3, computed with PBE.

abc: 7.0179 10.2920 10.2917
angles: 119.83 90.00 90.00
Fractional coordinates of all 14 atoms:
1 Se 0.7500 0.1981 0.8026
2 Se 0.2500 0.8019 0.6028
3 Se 0.2500 0.3973 0.1988
4 Se 0.7500 0.1981 0.3972
5 Se 0.7500 0.6027 0.8012
6 Se 0.2500 0.8019 0.1974
7 Rb 0.2500 0.6132 0.8062
8 Rb 0.2500 0.1930 0.3868
9 Rb 0.7500 0.3868 0.1938
10 Rb 0.7500 0.8068 0.1924
11 Rb 0.2500 0.1932 0.8076
12 Rb 0.7500 0.8070 0.6132
13 Ta 0.2500 0.6670 0.3330
14 Ta 0.7500 0.3330 0.6670

Results
* size of the total moment: 0.00 Bohr magnetons per cell
* total DFT energy (no corrections): -62.107 eV for the cell shown

***

A relaxed structure of Li2La2Bi, computed with PBE.

abc: 4.0264 4.0264 10.1328
angles: 78.54 78.54 90.00
Each line ends with the local moment (μB).
Fractional coordinates of all 5 atoms:
1 La 0.5942 0.5942 0.8115  0.27
2 La 0.4058 0.4058 0.1885  0.27
3 Bi 0.0000 0.0000 0.0000  -0.01
4 Li 0.7500 0.2500 0.5000  0.01
5 Li 0.2500 0.7500 0.5000  0.01

Results
* density of states at the Fermi level: 5.2 states/eV/cell
* size of the total moment: 1.34 Bohr magnetons per cell
* formation energy: -97 kJ/mol of formula units

***

Ρ, respectively: 5.1 12.6 3.5 5.3 g/cm3.